4
Lattice="-4.636 -0.386 0.482 -2.825 1.175 -3.537 -2.326 -3.317 -2.337" Properties=species:S:1:pos:R:3 comment="Y2BPd PBE optimized geometry" spacegroup="F-43m (216)" total_magnetization_mub_per_fu=0.022 pbc="T T T"
Y 0.000 0.000 0.000
Y -7.340 -1.896 -4.044
Pd -2.447 -0.632 -1.348
B -4.893 -1.264 -2.696



4
Lattice="0.000 3.361 3.361 3.361 0.000 3.361 3.361 3.361 0.000" Properties=species:S:1:pos:R:3 comment="BeCd2As PBE optimized geometry" spacegroup="F-43m (216)" pbc="T T T"
Cd 0.000 0.000 0.000
Cd 5.042 5.042 5.042
As 3.361 3.361 3.361
Be 1.681 1.681 1.681



3
Lattice="0.000 3.249 3.249 3.249 0.000 3.249 3.249 3.249 0.000" Properties=species:S:1:pos:R:3 comment="LiUPd PBE optimized geometry" spacegroup="F-43m (216)" total_magnetization_mub_per_fu=3.117 de_polymorph_ev_per_atom=0.000 pbc="T T T"
Li 3.249 3.249 3.249
U 0.000 0.000 0.000
Pd 1.625 1.625 1.625



8
Lattice="-0.610 -3.402 -0.888 3.348 1.168 0.399 -0.466 -3.983 15.572" Properties=species:S:1:pos:R:3 comment="ErTmTlC PBE optimized geometry" spacegroup="P6_3mc (186)" total_magnetization_mub_per_fu=0.072 pbc="T T T"
Tl 1.680 -3.344 11.655
Tl 0.593 -2.876 3.440
C -0.466 -3.981 15.566
C -0.233 -1.990 7.780
Tm 0.283 -5.532 13.824
Tm 1.835 -2.017 6.467
Er 1.991 -0.685 1.257
Er 0.438 -4.200 8.614



8
Lattice="5.647 0.000 0.000 0.000 5.647 0.000 0.000 0.000 4.557" Properties=species:S:1:pos:R:3 comment="LiErAsO PBE optimized geometry" spacegroup="P4/nmm (129)" total_magnetization_mub_per_fu=0.022 de_polymorph_ev_per_atom=0.540 pbc="T T T"
Li 4.235 4.235 0.006
Li 1.412 1.412 4.551
As 1.412 1.412 2.272
As 4.235 4.235 2.284
Er 4.235 1.412 2.278
Er 1.412 4.235 2.278
O 4.235 1.412 0.000
O 1.412 4.235 0.000



9
Lattice="-2.163 -0.099 -4.988 4.963 -0.603 -2.140 -0.514 -5.404 0.330" Properties=species:S:1:pos:R:3 comment="InHg3PtO4 PBE optimized geometry" spacegroup="P-43m (215)" total_magnetization_mub_per_fu=0.368 pbc="T T T"
Hg 1.400 -0.351 -3.564
Hg -1.339 -2.751 -2.329
Hg 2.224 -3.003 -0.905
O -0.992 -4.421 -4.103
O 0.504 -1.347 -1.500
O 2.068 -1.739 -5.483
O 2.989 -4.703 -2.512
In 0.000 0.000 0.000
Pt 1.143 -3.053 -3.399



40
Lattice="8.045 0.000 0.000 0.018 8.046 0.000 0.054 0.004 8.216" Properties=species:S:1:pos:R:3 comment="PrNbN2O PBE optimized geometry" spacegroup="P1 (1)" total_magnetization_mub_per_fu=0.002 pbc="T T T"
N 2.379 4.436 7.953
N 6.367 6.063 1.456
N 2.275 7.655 7.966
N 1.714 0.289 3.846
N 1.884 3.731 3.832
N 1.736 1.992 6.282
N 5.801 3.655 7.974
N 6.426 7.751 3.870
N 5.639 6.017 6.177
N 4.063 0.361 5.644
N 5.890 0.366 7.944
N 4.049 7.680 2.097
N 8.051 3.659 1.554
N 2.459 2.029 1.563
N 6.237 4.284 3.875
N 0.058 4.388 6.182
Pr 3.896 2.029 3.824
Pr 4.228 6.008 3.992
Pr 0.285 6.052 8.114
Pr 7.875 2.018 7.929
Pr 0.191 6.043 4.097
Pr 4.010 2.017 7.865
Pr 4.159 6.047 0.029
Pr 7.981 2.017 3.775
Nb 2.084 0.041 1.947
Nb 6.162 4.115 1.914
Nb 6.064 7.971 1.978
Nb 1.979 3.990 6.081
Nb 5.990 8.034 6.046
Nb 1.993 3.910 1.889
Nb 2.085 0.053 6.056
Nb 6.079 4.119 6.079
O 8.024 0.525 1.562
O 2.366 6.006 5.433
O 4.088 3.498 5.685
O 4.024 4.574 2.039
O 1.478 6.082 2.049
O 6.629 1.961 5.697
O 5.664 2.029 2.194
O 0.085 7.503 6.157



5
Lattice="-1.980 3.600 4.125 0.688 -5.413 -2.030 2.888 -0.227 1.584" Properties=species:S:1:pos:R:3 comment="Ta2CoB2 PBE optimized geometry" spacegroup="Cmmm (65)" total_magnetization_mub_per_fu=1.326 pbc="T T T"
Co 0.000 0.000 0.000
B -1.429 1.737 2.853
B 0.137 -3.550 -0.758
Ta 1.158 -2.237 1.009
Ta 0.438 0.197 2.671



no.,uncorrected energy (eV for the cell shown)
1,-23.57
2,-8.16
3,-17.43
4,-44.55
5,-42.96
6,-30.90
7,-361.19
8,-47.31